TaFeMo2H after structural relaxation. Source: the Alexandria database, functional PBE.

Properties
Space group: P4/mmm (123)
Total DFT energy (no corrections) (eV/atom): -8.937
Density (g cm⁻³): 11.11

```
TaFeMo2H
1.0
3.885 0.000 0.000
0.000 3.885 0.000
0.000 0.000 4.255
Mo H Fe Ta
2 1 1 1
Direct
0.000 0.500 0.000
0.500 0.000 0.000
0.000 0.000 0.000
0.000 0.000 0.500
0.500 0.500 0.500
```


TaFe2MoH after structural relaxation. Source: the Alexandria database, functional PBE.

Properties
Space group: P4/mmm (123)
E above lowest polymorph (meV per atom): 0
Density (g cm⁻³): 11.34

```
TaFe2MoH
1.0
3.804 0.000 0.000
0.000 3.804 0.000
0.000 0.000 3.942
Fe Mo H Ta
2 1 1 1
Direct
0.000 0.500 0.000
0.500 0.000 0.000
0.000 0.000 0.500
0.000 0.000 0.000
0.500 0.500 0.500
```


TaFe2MoH after structural relaxation. Source: the Alexandria database, functional PBE.

Properties
Space group: P4/mmm (123)
E above lowest polymorph (meV per atom): 19
Density (g cm⁻³): 11.34

```
TaFe2MoH
1.0
-3.230 -1.900 -0.563
-0.158 -0.826 3.695
-2.072 3.327 0.655
H Fe Ta Mo
1 2 1 1
Direct
0.000 0.000 0.000
0.500 0.000 0.000
0.000 0.500 0.000
0.000 0.000 0.500
0.500 0.500 0.500
```


Ti2FeMoH after structural relaxation. Source: the Alexandria database, functional PBE.

Properties
Space group: P4/mmm (123)
Total DFT energy (no corrections) (eV/atom): -7.902
Density (g cm⁻³): 6.87

```
Ti2FeMoH
1.0
4.318 0.000 0.000
0.000 4.318 0.000
0.000 0.000 3.225
H Mo Fe Ti
1 1 1 2
Direct
0.000 0.000 0.000
0.500 0.500 0.500
0.000 0.000 0.500
0.000 0.500 0.000
0.500 0.000 0.000
```


TiFeMo2H after structural relaxation. Source: the Alexandria database, functional PBE.

Properties
Space group: P4/mmm (123)
Total DFT energy (no corrections) (eV/atom): -6.099
Density (g cm⁻³): 5.64

```
TiFeMo2H
1.0
4.599 0.000 0.000
0.000 4.128 0.000
0.000 0.000 4.599
Mo Ti H Fe
2 1 1 1
Direct
0.500 0.000 0.000
0.000 0.000 0.500
0.000 0.000 0.000
0.500 0.500 0.500
0.000 0.500 0.000
```


V2FeMoH after structural relaxation. Source: the Alexandria database, functional PBE.

Properties
Space group: P4/mmm (123)
Total DFT energy (no corrections) (eV/atom): -8.242
Density (g cm⁻³): 7.67

```
V2FeMoH
1.0
4.134 0.000 0.000
0.000 4.134 0.000
0.000 0.000 3.224
Mo Fe V H
1 1 2 1
Direct
0.500 0.500 0.500
0.000 0.000 0.500
0.000 0.500 0.000
0.500 0.000 0.000
0.000 0.000 0.000
```


VFeMo2H after structural relaxation. Source: the Alexandria database, functional PBE.

Properties
Space group: P4/mmm (123)
Total DFT energy (no corrections) (eV/atom): -8.465
Density (g cm⁻³): 8.49

```
VFeMo2H
1.0
-0.967 -1.323 -3.889
2.592 -3.297 0.477
-2.486 -1.777 1.223
V Mo H Fe
1 2 1 1
Direct
0.500 0.500 0.500
0.000 0.500 0.000
0.500 0.000 0.000
0.000 0.000 0.000
0.000 0.000 0.500
```


FeMoHW2 after structural relaxation. Source: the Alexandria database, functional PBE.

Properties
Space group: P4/mmm (123)
Total DFT energy (no corrections) (eV/atom): -9.542
Density (g cm⁻³): 14.04

```
FeMoHW2
1.0
-3.501 -1.869 1.620
-1.564 -0.503 -3.959
1.498 -2.989 -0.212
H W Fe Mo
1 2 1 1
Direct
0.000 0.000 0.000
0.500 0.000 0.000
0.000 0.500 0.000
0.000 0.000 0.500
0.500 0.500 0.500
```


Fe2MoHW after structural relaxation. Source: the Alexandria database, functional PBE.

Properties
Space group: P4/mmm (123)
E above lowest polymorph (meV per atom): 23
Density (g cm⁻³): 11.87

```
Fe2MoHW
1.0
-0.073 -0.427 3.731
-3.637 -0.921 -0.176
0.969 -3.746 -0.410
Fe H Mo W
2 1 1 1
Direct
0.500 0.000 0.000
0.000 0.500 0.000
0.000 0.000 0.000
0.500 0.500 0.500
0.000 0.000 0.500
```


Fe2MoHW after structural relaxation. Source: the Alexandria database, functional PBE.

Properties
Space group: P4/mmm (123)
E above lowest polymorph (meV per atom): 0
Density (g cm⁻³): 11.90

```
Fe2MoHW
1.0
3.759 0.000 0.000
0.000 3.759 0.000
0.000 0.000 3.874
H Fe W Mo
1 2 1 1
Direct
0.000 0.000 0.000
0.500 0.000 0.000
0.000 0.500 0.000
0.500 0.500 0.500
0.000 0.000 0.500
```


ZnFeMo2H after structural relaxation. Source: the Alexandria database, functional PBE.

Properties
Space group: P4/mmm (123)
Total DFT energy (no corrections) (eV/atom): -6.814
Density (g cm⁻³): 8.75

```
ZnFeMo2H
1.0
-0.283 2.832 2.656
2.512 -1.897 2.290
2.993 1.901 -1.709
Mo Fe H Zn
2 1 1 1
Direct
0.500 0.000 0.000
0.000 0.500 0.000
0.000 0.000 0.500
0.000 0.000 0.000
0.500 0.500 0.500
```


Zr2FeMoH after structural relaxation. Source: the Alexandria database, functional PBE.

Properties
Space group: P4/mmm (123)
E above lowest polymorph (meV per atom): 631
Density (g cm⁻³): 7.07

```
Zr2FeMoH
1.0
-3.648 3.102 -1.411
-1.886 -2.473 -0.562
-1.655 0.193 4.706
Fe H Zr Mo
1 1 2 1
Direct
0.000 0.000 0.000
0.000 0.500 0.000
0.000 0.000 0.500
0.500 0.000 0.000
0.500 0.500 0.500
```